Record 1
A plane-wave DFT calculation with PBE was carried out for crystalline NbI at its relaxed geometry.

```
NbI
1.0
0.0000 2.7359 4.5274
1.9027 0.0000 4.5274
1.9027 2.7359 0.0000
Nb I
1 1
direct
0.0000 0.0000 0.0000 Nb
0.2500 0.2500 0.2500 I
```

The value obtained for the total magnetic moment is 0.000 μB per atom. For the volume, the calculation gives 23.568 Å³/atom. The calculation puts the uncorrected energy at -5.175 eV/atom. Its density is 7.74 g cm⁻³. Its symmetry is F222.


Record 2
A plane-wave DFT calculation with PBE was carried out for crystalline La2Ce2Ge3 at its relaxed geometry.

```
La2Ce2Ge3
1.0
4.2784 0.0000 0.0000
-2.1367 7.0149 0.0000
-0.0030 -1.2083 7.4159
La Ce Ge
2 2 3
direct
0.1273 0.2533 0.3730 La
0.8727 0.7467 0.6270 La
0.3723 0.7444 0.1122 Ce
0.6277 0.2556 0.8878 Ce
0.0000 0.0000 0.0000 Ge
0.2447 0.4903 0.7534 Ge
0.7553 0.5097 0.2466 Ge
```

The value obtained for the total magnetic moment is 0.255 μB per atom. For the volume, the calculation gives 31.796 Å³/atom. As for the formation energy: -565.1 meV per atom. Its density is 5.79 g cm⁻³. Its symmetry is P-1.


Record 3
A plane-wave DFT calculation with PBE was carried out for crystalline BaSrBiO4 at its relaxed geometry.

```
BaSrBiO4
1.0
-2.1957 2.1957 6.6530
2.1957 -2.1957 6.6530
2.1957 2.1957 -6.6530
Ba Sr Bi O
1 1 1 4
direct
0.0000 0.0000 0.0000 Ba
0.7076 0.7076 0.0000 Sr
0.3514 0.3514 0.0000 Bi
0.1858 0.1858 0.0000 O
0.3462 0.8462 0.5000 O
0.5257 0.5257 0.0000 O
0.8462 0.3462 0.5000 O
```

The value obtained for the total magnetic moment is 0.000 μB per atom. For the volume, the calculation gives 18.328 Å³/atom. The calculation puts the uncorrected energy at -5.908 eV/atom. Its density is 6.44 g cm⁻³. Its symmetry is I4mm.


Q: Which of these has the highest total magnetic moment?
A: La2Ce2Ge3


Q: total magnetic moment of number 3 (BaSrBiO4)?
A: 0.000 μB per atom